# 1
Material: Sr2InAs2
Method: DFT, meta-GGA SCAN
State: single point on PBEsol structure

abc: 3.8798 3.8798 9.9099
angles: 101.29 101.29 90.00
Closest atoms and distances in Å follow each position.
Fractional coordinates of all 5 atoms:
Sr 0.3822 0.3822 0.7644  4 As 3.18, 4 In 3.54
Sr 0.6178 0.6178 0.2356  4 As 3.18, 4 In 3.54
As 0.2500 0.7500 0.5000  4 As 2.74
As 0.7500 0.2500 0.5000  4 As 2.74
In 0.0000 0.0000 0.0000  8 Sr 3.54, 4 In 3.88

ρ	5.10	g/cm3
E_form	-0.61	eV/atom
calculated total energy	-24.2722	eV per atom

# 2
Material: ZrSbTe2Ir
Method: DFT, meta-GGA SCAN
State: single point on PBEsol structure

abc: 5.3415 5.3415 5.4151
angles: 90.00 90.00 90.00
Closest atoms and distances in Å follow each position.
Fractional coordinates of all 5 atoms:
Sb 0.0000 0.0000 0.5000  2 Zr 2.71
Ir 0.5000 0.5000 0.5000  4 Sb 3.78, 8 Te 3.80
Te 0.0000 0.5000 0.0000  2 Zr 2.67
Te 0.5000 0.0000 0.0000  2 Zr 2.67
Zr 0.0000 0.0000 0.0000  4 Te 2.67, 2 Sb 2.71

raw formation energy	1107	meV per atom
ρ	7.10	g/cm3
calculated total energy	-41.6048	eV per atom

# 3
Material: YGaAs3
Method: DFT, meta-GGA SCAN
State: single point on PBEsol structure

abc: 5.3293 5.3293 5.3293
angles: 90.00 90.00 90.00
Closest atoms and distances in Å follow each position.
Fractional coordinates of all 5 atoms:
Y 0.0000 0.0000 0.0000  6 As 2.66
As 0.0000 0.5000 0.0000  2 Y 2.66
As 0.0000 0.0000 0.5000  2 Y 2.66
As 0.5000 0.0000 0.0000  2 Y 2.66
Ga 0.5000 0.5000 0.5000  12 As 3.77

ρ	4.21	g/cm3
E_form	0.43	eV/atom
calculated total energy	-20.5205	eV per atom

# 4
Material: Li3OsPt
Method: DFT, meta-GGA SCAN
State: single point on PBEsol structure

abc: 4.4099 4.4099 4.4099
angles: 90.00 90.00 90.00
Closest atoms and distances in Å follow each position.
Fractional coordinates of all 5 atoms:
Os 0.5000 0.5000 0.5000  12 Li 3.12
Pt 0.0000 0.0000 0.0000  6 Li 2.20
Li 0.0000 0.5000 0.0000  2 Pt 2.20
Li 0.0000 0.0000 0.5000  2 Pt 2.20
Li 0.5000 0.0000 0.0000  2 Pt 2.20

ρ	7.86	g/cm3
E_form	1.00	eV/atom
calculated total energy	-28.8515	eV per atom